(1)
! Ba2NiSn3Pt4 | the Alexandria database | PBE | relaxed; values from VASP
! Energy relative to the elements   -623 meV/atom
! SG   P-4m2
! Size of the total moment   0.51 Bohr magnetons per cell
! Crystal system   tetragonal
&SYSTEM
  ibrav = 0, nat = 10, ntyp = 4
/
ATOMIC_SPECIES
Ba 137.33 Ba.upf
Ni 58.69 Ni.upf
Sn 118.71 Sn.upf
Pt 195.08 Pt.upf
CELL_PARAMETERS angstrom
4.6969 0.0000 0.0000
0.0000 4.6969 0.0000
0.0000 0.0000 10.7712
ATOMIC_POSITIONS crystal
Ba 0.0000 0.5000 0.2432
Ba 0.5000 0.0000 0.7568
Ni 0.5000 0.5000 0.0000
Sn 0.0000 0.0000 0.0000
Sn 0.0000 0.5000 0.6250
Sn 0.5000 0.0000 0.3750
Pt 0.0000 0.0000 0.5000
Pt 0.0000 0.5000 0.8788
Pt 0.5000 0.0000 0.1212
Pt 0.5000 0.5000 0.5000


(2)
! Ag3W | the Alexandria database | PBE | relaxed; values from VASP
! Energy relative to the elements   682 meV/atom
! SG   Immm
! Size of the total moment   0.00 Bohr magnetons per cell
! Crystal system   orthorhombic
&SYSTEM
  ibrav = 0, nat = 8, ntyp = 2
/
ATOMIC_SPECIES
Ag 107.87 Ag.upf
W 183.84 W.upf
CELL_PARAMETERS angstrom
2.7379 0.0000 0.0000
0.0000 5.0724 0.0000
0.0000 0.0000 10.1618
ATOMIC_POSITIONS crystal
Ag 0.0000 0.0000 0.0000
Ag 0.0000 0.5000 0.2477
Ag 0.0000 0.5000 0.7523
Ag 0.5000 0.0000 0.2523
Ag 0.5000 0.0000 0.7477
Ag 0.5000 0.5000 0.5000
W 0.0000 0.0000 0.5000
W 0.5000 0.5000 0.0000


(3)
! ScFeTcOs2 | the Alexandria database | PBE | relaxed; values from VASP
! Energy relative to the elements   1178 meV/atom
! SG   P4/mmm
! Size of the total moment   2.29 Bohr magnetons per cell
! Crystal system   tetragonal
&SYSTEM
  ibrav = 0, nat = 5, ntyp = 4
/
ATOMIC_SPECIES
Sc 44.96 Sc.upf
Fe 55.84 Fe.upf
Tc 98.00 Tc.upf
Os 190.23 Os.upf
CELL_PARAMETERS angstrom
4.4104 0.0000 0.0000
0.0000 4.4104 0.0000
0.0000 0.0000 4.4625
ATOMIC_POSITIONS crystal
Sc 0.0000 0.0000 0.0000
Fe 0.0000 0.0000 0.5000
Tc 0.5000 0.5000 0.0000
Os 0.0000 0.5000 0.5000
Os 0.5000 0.0000 0.5000


(4)
! Tm2MgScBi4 | the Alexandria database | PBE | relaxed; values from VASP
! Energy relative to the elements   -533 meV/atom
! SG   P2/m
! Size of the total moment   0.00 Bohr magnetons per cell
! Crystal system   monoclinic
&SYSTEM
  ibrav = 0, nat = 8, ntyp = 4
/
ATOMIC_SPECIES
Tm 168.93 Tm.upf
Mg 24.30 Mg.upf
Sc 44.96 Sc.upf
Bi 208.98 Bi.upf
CELL_PARAMETERS angstrom
7.5539 0.0000 0.0000
0.0000 4.3467 0.0000
-2.5665 0.0000 7.2277
ATOMIC_POSITIONS crystal
Tm 0.0000 0.0000 0.0000
Tm 0.0000 0.5000 0.5000
Mg 0.5000 0.0000 0.5000
Sc 0.5000 0.5000 0.0000
Bi 0.2601 0.0000 0.7563
Bi 0.2606 0.5000 0.2515
Bi 0.7394 0.5000 0.7485
Bi 0.7399 0.0000 0.2437


(5)
! Zr3MnPt | the Alexandria database | PBE | relaxed; values from VASP
! Energy relative to the elements   196 meV/atom
! SG   Pm-3m
! Size of the total moment   0.00 Bohr magnetons per cell
! Crystal system   cubic
&SYSTEM
  ibrav = 0, nat = 5, ntyp = 3
/
ATOMIC_SPECIES
Zr 91.22 Zr.upf
Mn 54.94 Mn.upf
Pt 195.08 Pt.upf
CELL_PARAMETERS angstrom
4.7220 0.0000 0.0000
0.0000 4.7220 0.0000
0.0000 0.0000 4.7220
ATOMIC_POSITIONS crystal
Zr 0.0000 0.0000 0.5000
Zr 0.0000 0.5000 0.0000
Zr 0.5000 0.0000 0.0000
Mn 0.0000 0.0000 0.0000
Pt 0.5000 0.5000 0.5000


(6)
! SrInTe3 | the Alexandria database | PBE | relaxed; values from VASP
! ΔE_f (raw)   -404 meV/atom
! SG   Pm-3m
! Size of the total moment   0.00 Bohr magnetons per cell
! Crystal system   cubic
&SYSTEM
  ibrav = 0, nat = 5, ntyp = 3
/
ATOMIC_SPECIES
Sr 87.62 Sr.upf
In 114.82 In.upf
Te 127.60 Te.upf
CELL_PARAMETERS angstrom
5.7185 0.0000 0.0000
0.0000 5.7185 0.0000
0.0000 0.0000 5.7185
ATOMIC_POSITIONS crystal
Sr 0.0000 0.0000 0.0000
In 0.5000 0.5000 0.5000
Te 0.0000 0.5000 0.5000
Te 0.5000 0.0000 0.5000
Te 0.5000 0.5000 0.0000